1.
! La2Pr3YHo6 PBE optimized geometry; values from VASP
! - Crystal system: monoclinic
&SYSTEM
  ibrav = 0, nat = 12, ntyp = 4
/
ATOMIC_SPECIES
Ho 164.93 Ho.upf
Pr 140.91 Pr.upf
Y 88.91 Y.upf
La 138.91 La.upf
CELL_PARAMETERS angstrom
-1.1925 3.6715 -4.9457
-3.9221 -0.0362 4.8967
7.8041 7.4464 4.9694
ATOMIC_POSITIONS crystal
Ho 0.0837 0.4166 0.2502
Pr 0.5000 0.5000 0.5000
Ho 0.5834 0.9163 0.7498
Y 0.0000 0.0000 0.0000
Ho 0.4166 0.0837 0.2502
La 0.3337 0.6663 0.0000
Ho 0.2491 0.2491 0.7496
La 0.6663 0.3337 0.0000
Pr 0.1667 0.8333 0.5000
Pr 0.8333 0.1667 0.5000
Ho 0.7509 0.7509 0.2504
Ho 0.9163 0.5834 0.7498

2.
! LaPr2Y2Ho2 PBE optimized geometry; values from VASP
! - Crystal system: monoclinic
&SYSTEM
  ibrav = 0, nat = 7, ntyp = 4
/
ATOMIC_SPECIES
Y 88.91 Y.upf
Ho 164.93 Ho.upf
La 138.91 La.upf
Pr 140.91 Pr.upf
CELL_PARAMETERS angstrom
-3.6216 -4.1933 -2.2933
1.6177 -0.0811 5.4336
-6.7638 2.1032 6.8361
ATOMIC_POSITIONS crystal
Y 0.8553 0.7107 0.2160
Ho 0.5789 0.1578 0.6346
La 0.0000 0.0000 0.5000
Y 0.1447 0.2893 0.7840
Pr 0.2931 0.5863 0.0549
Pr 0.7069 0.4137 0.9451
Ho 0.4211 0.8422 0.3654

3.
! La2Pr4Y2Ho PBE optimized geometry; values from VASP
! - Crystal system: monoclinic
&SYSTEM
  ibrav = 0, nat = 9, ntyp = 4
/
ATOMIC_SPECIES
Pr 140.91 Pr.upf
Ho 164.93 Ho.upf
La 138.91 La.upf
Y 88.91 Y.upf
CELL_PARAMETERS angstrom
3.7087 0.0000 0.0000
-1.8544 9.5788 -0.4961
0.0000 -3.7967 9.0718
ATOMIC_POSITIONS crystal
Pr 0.5180 0.0360 0.3340
Ho 0.0000 0.0000 0.0000
La 0.3349 0.6698 0.0009
La 0.6651 0.3302 0.9991
Pr 0.1852 0.3705 0.3329
Y 0.8519 0.7038 0.3331
Pr 0.8148 0.6295 0.6671
Y 0.1481 0.2962 0.6669
Pr 0.4820 0.9640 0.6660

4.
! LaPr2YHo5 PBE optimized geometry; values from VASP
! - Crystal system: tetragonal
&SYSTEM
  ibrav = 0, nat = 18, ntyp = 4
/
ATOMIC_SPECIES
Ho 164.93 Ho.upf
Y 88.91 Y.upf
La 138.91 La.upf
Pr 140.91 Pr.upf
CELL_PARAMETERS angstrom
8.7648 0.0000 0.0000
0.0000 8.7648 0.0000
-4.3824 -4.3824 7.8195
ATOMIC_POSITIONS crystal
Ho 0.9269 0.4269 0.2752
Ho 0.8483 0.9269 0.2752
Y 0.2500 0.7500 0.5000
Ho 0.6517 0.1517 0.7248
Ho 0.0000 0.0000 0.0000
Ho 0.5000 0.5000 0.0000
La 0.7500 0.7500 0.5000
Pr 0.8824 0.6176 0.0000
Ho 0.0731 0.5731 0.7248
Pr 0.6176 0.1176 0.0000
Y 0.7500 0.2500 0.5000
Ho 0.4269 0.3483 0.2752
Ho 0.5731 0.6517 0.7248
Pr 0.3824 0.8824 0.0000
Ho 0.1517 0.0731 0.7248
La 0.2500 0.2500 0.5000
Ho 0.3483 0.8483 0.2752
Pr 0.1176 0.3824 0.0000

5.
! La2Pr6Y3Ho PBE optimized geometry; values from VASP
! - Crystal system: monoclinic
&SYSTEM
  ibrav = 0, nat = 12, ntyp = 4
/
ATOMIC_SPECIES
Pr 140.91 Pr.upf
Y 88.91 Y.upf
Ho 164.93 Ho.upf
La 138.91 La.upf
CELL_PARAMETERS angstrom
-0.1871 6.3597 -0.3209
-5.4192 -3.3467 0.1199
1.7664 -0.4090 11.9575
ATOMIC_POSITIONS crystal
Pr 0.0844 0.4162 0.2533
Pr 0.9156 0.5838 0.7467
Y 0.1663 0.8337 0.5000
Ho 0.0000 0.0000 0.0000
Y 0.5000 0.5000 0.5000
La 0.3332 0.6668 0.0000
Pr 0.5838 0.9156 0.7467
Pr 0.7522 0.7522 0.2535
Y 0.8337 0.1663 0.5000
La 0.6668 0.3332 0.0000
Pr 0.4162 0.0844 0.2533
Pr 0.2478 0.2478 0.7465

6.
! LaPrYHo PBE optimized geometry; values from VASP
! - Energy above the most stable polymorph in this dataset: 0.0000 eV/atom
! - Crystal system: cubic
&SYSTEM
  ibrav = 0, nat = 4, ntyp = 4
/
ATOMIC_SPECIES
Ho 164.93 Ho.upf
La 138.91 La.upf
Y 88.91 Y.upf
Pr 140.91 Pr.upf
CELL_PARAMETERS angstrom
-4.1801 -1.3248 3.7885
-3.3637 -4.6322 -0.8993
0.5344 -4.6706 3.3883
ATOMIC_POSITIONS crystal
Ho 0.2500 0.2500 0.2500
La 0.0000 0.0000 0.0000
Y 0.7500 0.7500 0.7500
Pr 0.5000 0.5000 0.5000

Number 1: energy relative to the elements 0.0161 eV/atom, E -4.8276 eV per atom. Number 2: energy relative to the elements 0.1164 eV/atom, E -5.1079 eV per atom. Number 3: energy relative to the elements 0.0075 eV/atom, E -5.1568 eV per atom. Number 4: energy relative to the elements 0.2558 eV/atom, E -4.6152 eV per atom. Number 5: energy relative to the elements 0.0138 eV/atom, E -5.1946 eV per atom. Number 6: energy relative to the elements 0.0900 eV/atom, E -5.0972 eV per atom.